(1)
4
Lattice="2.997 0.000 0.000 0.000 3.390 0.000 0.000 0.000 6.408" Properties=species:S:1:pos:R:3 comment="PBE ZrCoAs2, optimized geometry" ef_ev_per_atom=-0.205 space_group="Pmmm, No. 47" dos_ef_per_ev_atom=0.738 pbc="T T T"
Zr 0.000 0.000 0.000
Co 0.000 0.000 3.204
As 1.499 1.695 1.799
As 1.499 1.695 4.609

***

(2)
5
Lattice="4.941 0.000 0.000 0.000 4.941 0.000 0.000 0.000 4.941" Properties=species:S:1:pos:R:3 comment="PBE Zr3CoAs, optimized geometry" ef_ev_per_atom=0.492 space_group="Pm-3m, No. 221" dos_ef_per_ev_atom=1.025 pbc="T T T"
Zr 0.000 0.000 2.471
Zr 0.000 2.471 0.000
Zr 2.471 0.000 0.000
Co 2.471 2.471 2.471
As 0.000 0.000 0.000

***

(3)
8
Lattice="3.832 0.000 0.000 0.000 5.207 0.000 0.000 0.000 6.761" Properties=species:S:1:pos:R:3 comment="PBE ZrCoAs2, optimized geometry" ef_ev_per_atom=-0.362 space_group="Immm, No. 71" dos_ef_per_ev_atom=1.011 pbc="T T T"
Zr 0.000 0.000 0.000
Zr 1.916 2.604 3.381
Co 0.000 0.000 3.381
Co 1.916 2.604 0.000
As 0.000 2.604 1.380
As 0.000 2.604 5.381
As 1.916 0.000 2.000
As 1.916 0.000 4.761

***

(4)
8
Lattice="3.784 0.000 0.000 0.000 3.784 0.000 0.000 0.000 9.228" Properties=species:S:1:pos:R:3 comment="PBE ZrCoAs2, optimized geometry" ef_ev_per_atom=-0.303 space_group="I-4m2, No. 119" dos_ef_per_ev_atom=0.938 pbc="T T T"
Zr 0.000 0.000 0.000
Zr 1.892 1.892 4.614
Co 0.000 1.892 2.307
Co 1.892 0.000 6.921
As 0.000 0.000 4.614
As 0.000 1.892 6.921
As 1.892 0.000 2.307
As 1.892 1.892 0.000

***

(5)
5
Lattice="5.130 0.000 0.000 0.000 5.130 0.000 0.000 0.000 5.130" Properties=species:S:1:pos:R:3 comment="PBE ZrCoAs3, optimized geometry" ef_ev_per_atom=0.959 space_group="Pm-3m, No. 221" dos_ef_per_ev_atom=2.456 pbc="T T T"
Zr 0.000 0.000 0.000
Co 2.565 2.565 2.565
As 0.000 0.000 2.565
As 0.000 2.565 0.000
As 2.565 0.000 0.000

***

(6)
16
Lattice="6.415 0.000 0.000 0.000 6.415 0.000 0.000 0.000 6.415" Properties=species:S:1:pos:R:3 comment="PBE ZrCoAs2, optimized geometry" ef_ev_per_atom=-0.230 space_group="Fm-3m, No. 225" dos_ef_per_ev_atom=0.992 pbc="T T T"
Zr 0.000 0.000 0.000
Zr 0.000 3.208 3.208
Zr 3.208 0.000 3.208
Zr 3.208 3.208 0.000
Co 0.000 0.000 3.208
Co 0.000 3.208 0.000
Co 3.208 0.000 0.000
Co 3.208 3.208 3.208
As 1.604 1.604 1.604
As 1.604 1.604 4.811
As 1.604 4.811 1.604
As 1.604 4.811 4.811
As 4.811 1.604 1.604
As 4.811 1.604 4.811
As 4.811 4.811 1.604
As 4.811 4.811 4.811

***

(7)
4
Lattice="3.548 0.000 0.000 0.000 3.548 0.000 0.000 0.000 5.455" Properties=species:S:1:pos:R:3 comment="PBE ZrCoAs2, optimized geometry" ef_ev_per_atom=-0.411 space_group="P4mm, No. 99" dos_ef_per_ev_atom=1.020 pbc="T T T"
Zr 0.000 0.000 0.000
Co 1.774 1.774 3.529
As 0.000 0.000 2.817
As 1.774 1.774 0.937

***

(8)
16
Lattice="6.770 0.000 0.000 0.000 6.770 0.000 0.000 0.000 6.099" Properties=species:S:1:pos:R:3 comment="PBE ZrCoAs2, optimized geometry" ef_ev_per_atom=-0.396 space_group="I-42d, No. 122" dos_ef_per_ev_atom=0.819 pbc="T T T"
Zr 0.000 0.000 0.000
Zr 0.000 3.385 1.525
Zr 3.385 0.000 4.574
Zr 3.385 3.385 3.049
Co 0.000 0.000 3.049
Co 0.000 3.385 4.574
Co 3.385 0.000 1.525
Co 3.385 3.385 0.000
As 1.295 5.077 3.812
As 1.692 1.295 2.287
As 1.692 2.090 5.337
As 2.090 5.077 0.762
As 4.680 1.692 0.762
As 5.077 4.680 5.337
As 5.077 5.475 2.287
As 5.475 1.692 3.812

***

Computed size of the total moment (μB per formula unit) in order:
1.0; 0.0; 0.3; 0.8; 0.0; 0.7; 0.8; 0.0